Entry 1:
AlTlTe2 | GGA-PBE | relaxed

Summary:
M_tot: 0.0000 μB per atom
Volume: 29.4 A^3/atom
Energy relative to the elements, uncorrected: -0.109 eV/atom
DFT total energy: -12.83 eV per formula unit
Theoretical density: 6.9 g/cm3

Unit cell a=4.3695 b=4.3695 c=6.1545 alpha=90.00 beta=90.00 gamma=90.00
Space group P4/mmm (No. 123)
Symmetry-distinct sites (fractional):
1 Al 0.0000 0.0000 0.0000
2 Tl 0.5000 0.5000 0.5000
3 Te 0.0000 0.0000 0.5000
4 Te 0.5000 0.5000 0.0000

***

Entry 2:
MoAsIrBr2 | GGA-PBE | relaxed

Summary:
Energy above the most stable polymorph in this dataset: 0.000 eV per atom
M_tot: 0.9623 μB per atom
Volume: 26.3 A^3/atom
Energy relative to the elements, uncorrected: 1.015 eV/atom
DFT total energy: -22.61 eV per formula unit
Theoretical density: 6.6 g/cm3

Unit cell a=5.3365 b=5.3365 c=4.6141 alpha=90.00 beta=90.00 gamma=90.00
Space group P4/mmm (No. 123)
Symmetry-distinct sites (fractional):
1 Mo 0.0000 0.0000 0.0000
2 As 0.5000 0.5000 0.0000
3 Ir 0.5000 0.5000 0.5000
4 Br 0.0000 0.5000 0.5000

***

Entry 3:
NaTl2Si2 | GGA-PBE | relaxed

Summary:
Energy above the most stable polymorph in this dataset: 0.000 eV per atom
M_tot: 0.0000 μB per atom
Volume: 24.8 A^3/atom
Energy relative to the elements, uncorrected: 0.279 eV/atom
DFT total energy: -15.50 eV per formula unit
Theoretical density: 6.5 g/cm3

Unit cell a=7.6522 b=7.6522 c=4.2359 alpha=90.00 beta=90.00 gamma=90.00
Space group P4/mbm (No. 127)
Symmetry-distinct sites (fractional):
1 Na 0.0000 0.0000 0.0000
2 Tl 0.1858 0.3142 0.5000
3 Si 0.1075 0.6075 0.0000

***

Entry 4:
NbHgTe2 | GGA-PBE | relaxed

Summary:
Energy above the most stable polymorph in this dataset: 0.132 eV per atom
M_tot: 0.0000 μB per atom
Volume: 30.5 A^3/atom
Energy relative to the elements, uncorrected: -0.206 eV/atom
DFT total energy: -17.48 eV per formula unit
Theoretical density: 7.5 g/cm3

Unit cell a=5.8822 b=16.3660 c=5.7987 alpha=90.00 beta=118.89 gamma=90.00
Space group C2/c (No. 15)
Symmetry-distinct sites (fractional):
1 Nb 0.0000 0.2501 0.2500
2 Hg 0.0000 0.1956 0.7500
3 Te 0.1591 0.3835 0.5990

***

Entry 5:
Li6Zn3Ag2 | GGA-PBE | relaxed

Summary:
Formation energy from the elements: -125 kJ/mol of formula units
M_tot: 0.0000 μB per atom
Volume: 16.8 A^3/atom
DFT total energy: -22.30 eV per formula unit
Theoretical density: 4.1 g/cm3

Unit cell a=7.1885 b=2.8256 c=9.1899 alpha=90.00 beta=96.81 gamma=90.00
Space group P2/m (No. 10)
Symmetry-distinct sites (fractional):
1 Li 0.0466 0.0000 0.3041
2 Li 0.3038 0.0000 0.6151
3 Li 0.4007 0.0000 0.1178
4 Zn 0.0000 0.0000 0.0000
5 Zn 0.2516 0.5000 0.8659
6 Ag 0.3673 0.5000 0.3680

***

Entry 6:
CuTcBi2O6 | GGA-PBE | relaxed

Summary:
M_tot: 0.1999 μB per atom
Volume: 13.1 A^3/atom
Energy relative to the elements, uncorrected: -1.094 eV/atom
DFT total energy: -62.91 eV per formula unit
Theoretical density: 8.6 g/cm3

Unit cell a=5.6003 b=6.2374 c=9.3082 alpha=90.00 beta=126.56 gamma=90.00
Space group P2_1/c (No. 14)
Symmetry-distinct sites (fractional):
1 Cu 0.0000 0.0000 0.0000
2 Tc 0.5000 0.0000 0.5000
3 Bi 0.2417 0.0677 0.7464
4 O 0.1475 0.1483 0.4617
5 O 0.2885 0.7214 0.4363
6 O 0.3602 0.0497 0.2444